VASP calculation (PBE) on a geometry-optimized CoSbW2 structure.

The structure in CIF format:
```
data_CoSbW2
_chemical_formula_sum 'Co1 Sb1 W2'
_symmetry_space_group_name_H-M 'P 1'
_symmetry_Int_Tables_number 1
_symmetry_space_group_name_Hall 'P 1'
_cell_length_a 4.964
_cell_length_b 4.964
_cell_length_c 4.438
_cell_angle_alpha 102.24
_cell_angle_beta 102.24
_cell_angle_gamma 36.97
loop_
_atom_site_label
_atom_site_type_symbol
_atom_site_fract_x
_atom_site_fract_y
_atom_site_fract_z
Co1 Co 0.000 0.000 0.000
Sb1 Sb 0.500 0.500 0.500
W1 W 0.256 0.256 0.769
W2 W 0.744 0.744 0.231
```

**Uncorrected formation energy**: 0.399 eV/atom
**Size of the total moment**: 0.6 μB per formula unit
**Density**: 14.20 g cm⁻³
**Space group**: C2/m
**E_tot**: -0.653 Ry/atom

---

VASP calculation (PBE) on a geometry-optimized Co2SbW structure.

The structure in CIF format:
```
data_Co2SbW
_chemical_formula_sum 'Co2 Sb1 W1'
_symmetry_space_group_name_H-M 'P 1'
_symmetry_Int_Tables_number 1
_symmetry_space_group_name_Hall 'P 1'
_cell_length_a 4.461
_cell_length_b 4.461
_cell_length_c 2.989
_cell_angle_alpha 90.00
_cell_angle_beta 90.00
_cell_angle_gamma 102.97
loop_
_atom_site_label
_atom_site_type_symbol
_atom_site_fract_x
_atom_site_fract_y
_atom_site_fract_z
Co1 Co 0.000 0.500 0.000
Co2 Co 0.500 0.000 0.000
Sb1 Sb 0.000 0.000 0.500
W1 W 0.500 0.500 0.500
```

**Uncorrected formation energy**: 0.347 eV/atom
**Size of the total moment**: 2.2 μB per formula unit
**Density**: 12.13 g cm⁻³
**Space group**: Cmmm
**E_tot**: -0.549 Ry/atom

---

VASP calculation (PBE) on a geometry-optimized CoSbW2 structure.

The structure in CIF format:
```
data_CoSbW2
_chemical_formula_sum 'Co2 Sb2 W4'
_symmetry_space_group_name_H-M 'P 1'
_symmetry_Int_Tables_number 1
_symmetry_space_group_name_Hall 'P 1'
_cell_length_a 10.086
_cell_length_b 10.086
_cell_length_c 10.086
_cell_angle_alpha 158.51
_cell_angle_beta 158.51
_cell_angle_gamma 30.58
loop_
_atom_site_label
_atom_site_type_symbol
_atom_site_fract_x
_atom_site_fract_y
_atom_site_fract_z
Co1 Co 0.000 0.000 0.000
Co2 Co 0.750 0.250 0.500
Sb1 Sb 0.250 0.750 0.500
Sb2 Sb 0.500 0.500 0.000
W1 W 0.116 0.625 0.991
W2 W 0.375 0.366 0.491
W3 W 0.634 0.125 0.009
W4 W 0.875 0.884 0.509
```

**Uncorrected formation energy**: 0.769 eV/atom
**Size of the total moment**: 0.5 μB per formula unit
**Density**: 13.23 g cm⁻³
**Space group**: I-42d
**E_tot**: -0.626 Ry/atom

---

VASP calculation (PBE) on a geometry-optimized CoSbW structure.

The structure in CIF format:
```
data_CoSbW
_chemical_formula_sum 'Co1 Sb1 W1'
_symmetry_space_group_name_H-M 'P 1'
_symmetry_Int_Tables_number 1
_symmetry_space_group_name_Hall 'P 1'
_cell_length_a 5.797
_cell_length_b 5.797
_cell_length_c 5.797
_cell_angle_alpha 150.02
_cell_angle_beta 150.02
_cell_angle_gamma 42.91
loop_
_atom_site_label
_atom_site_type_symbol
_atom_site_fract_x
_atom_site_fract_y
_atom_site_fract_z
Co1 Co 0.000 0.000 0.000
Sb1 Sb 0.669 0.669 0.000
W1 W 0.363 0.363 0.000
```

**Uncorrected formation energy**: 0.469 eV/atom
**Size of the total moment**: 0.0 μB per formula unit
**Density**: 12.48 g cm⁻³
**Space group**: I4mm
**Relative energy among the computed polymorphs**: 0.070 eV per atom
**E_tot**: -0.558 Ry/atom

---

Number 1 is which compound?
CoSbW2